DFT (PBE) results for crystalline AlCdP at its relaxed geometry.

Values from the calculation:
VASP energy	-2.96	eV per atom
distance to the lowest polymorph of the same formula	0.383	eV per atom
total moment	0.00	μB per formula unit

Geometry as CIF:
```
data_AlCdP
_cell_length_a 6.430
_cell_length_b 6.430
_cell_length_c 6.430
_cell_angle_alpha 90.00
_cell_angle_beta 90.00
_cell_angle_gamma 90.00
_space_group_name_H-M_alt 'F -4 3 m'
_space_group_IT_number 216
_space_group_name_Hall 'F -4 2 3'
loop_
_atom_site_label
_atom_site_type_symbol
_atom_site_fract_x
_atom_site_fract_y
_atom_site_fract_z
Al1 Al 0.000 0.000 0.000
Cd1 Cd 0.250 0.250 0.750
P1 P 0.000 0.000 0.500
```

=====

DFT (PBE) results for crystalline Tm3Tc8W at its relaxed geometry.

Values from the calculation:
VASP energy	-9.16	eV per atom
total moment	0.00	μB per formula unit

Geometry as CIF:
```
data_Tm3Tc8W
_cell_length_a 5.288
_cell_length_b 5.294
_cell_length_c 8.971
_cell_angle_alpha 75.53
_cell_angle_beta 75.42
_cell_angle_gamma 61.05
_space_group_name_H-M_alt 'P 1'
_space_group_IT_number 1
loop_
_space_group_symop_operation_xyz
'x,y,z'
loop_
_atom_site_label
_atom_site_type_symbol
_atom_site_fract_x
_atom_site_fract_y
_atom_site_fract_z
Tm1 Tm 0.000 0.000 0.000
Tm2 Tm 0.141 0.140 0.620
Tm3 Tm 0.517 0.516 0.494
Tc1 Tc 0.071 0.568 0.811
Tc2 Tc 0.072 0.579 0.305
Tc3 Tc 0.077 0.076 0.297
Tc4 Tc 0.319 0.319 0.059
Tc5 Tc 0.568 0.071 0.811
Tc6 Tc 0.574 0.574 0.837
Tc7 Tc 0.580 0.070 0.304
Tc8 Tc 0.829 0.829 0.563
W1 W 0.617 0.617 0.125
```

=====

DFT (PBE) results for crystalline Li2CuGeH at its relaxed geometry.

Values from the calculation:
VASP energy	-3.24	eV per atom
distance to the lowest polymorph of the same formula	0.109	eV per atom
total moment	0.00	μB per formula unit

Geometry as CIF:
```
data_Li2CuGeH
_cell_length_a 3.749
_cell_length_b 3.749
_cell_length_c 4.197
_cell_angle_alpha 90.00
_cell_angle_beta 90.00
_cell_angle_gamma 90.00
_space_group_name_H-M_alt 'P 4/m m m'
_space_group_IT_number 123
_space_group_name_Hall '-P 4 2'
loop_
_atom_site_label
_atom_site_type_symbol
_atom_site_fract_x
_atom_site_fract_y
_atom_site_fract_z
Li1 Li 0.000 0.500 0.000
Cu1 Cu 0.000 0.000 0.500
Ge1 Ge 0.500 0.500 0.500
H1 H 0.500 0.500 0.000
```

=====

DFT (PBE) results for crystalline GaTc2Pd at its relaxed geometry.

Values from the calculation:
VASP energy	-6.71	eV per atom
distance to the lowest polymorph of the same formula	0.394	eV per atom
total moment	0.48	μB per formula unit

Geometry as CIF:
```
data_GaTc2Pd
_cell_length_a 7.131
_cell_length_b 7.131
_cell_length_c 5.052
_cell_angle_alpha 90.00
_cell_angle_beta 90.00
_cell_angle_gamma 90.00
_space_group_name_H-M_alt 'I -4 2 d'
_space_group_IT_number 122
_space_group_name_Hall 'I -4 2bw'
loop_
_atom_site_label
_atom_site_type_symbol
_atom_site_fract_x
_atom_site_fract_y
_atom_site_fract_z
Ga1 Ga 0.000 0.000 0.000
Tc1 Tc 0.228 0.250 0.125
Pd1 Pd 0.000 0.000 0.500
```